[1]
First-principles (GGA-PBE) data for crystalline BeGaCo at its relaxed geometry, as listed in Alexandria via LeMat-Bulk.

```
data_BeGaCo
_space_group_name_H-M_alt 'P 3 m 1'
_space_group_IT_number 156
_cell_length_a 3.8027
_cell_length_b 3.8027
_cell_length_c 2.6073
_cell_angle_alpha 90.00
_cell_angle_beta 90.00
_cell_angle_gamma 120.00
loop_
_space_group_symop_operation_xyz
'x,y,z'
'-y,x-y,z'
'-x+y,-x,z'
'-y,-x,z'
'-x+y,y,z'
'x,x-y,z'
loop_
_atom_site_label
_atom_site_fract_x
_atom_site_fract_y
_atom_site_fract_z
_atom_site_occupancy
Be1 0.0000 0.0000 0.0000 1
Ga1 0.6667 0.3333 0.7385 1
Co1 0.3333 0.6667 0.2897 1
```

Computed properties:
Its density of states at the Fermi level is 1.41 states/eV/f.u. As for the formation energy: -0.345 eV per formula unit.



[2]
First-principles (GGA-PBE) data for crystalline TbThHgC at its relaxed geometry, as listed in Alexandria via LeMat-Bulk.

```
data_TbThHgC
_space_group_name_H-M_alt 'R 3 m'
_space_group_IT_number 160
_space_group_name_Hall 'R 3 -2"'
_cell_length_a 3.6567
_cell_length_b 3.6567
_cell_length_c 24.1874
_cell_angle_alpha 90.00
_cell_angle_beta 90.00
_cell_angle_gamma 120.00
loop_
_atom_site_label
_atom_site_fract_x
_atom_site_fract_y
_atom_site_fract_z
_atom_site_occupancy
Tb1 0.0000 0.0000 0.0000 1
Th1 0.0000 0.0000 0.2170 1
Hg1 0.0000 0.0000 0.7705 1
C1 0.0000 0.0000 0.6085 1
```

Computed properties:
Its density of states at the Fermi level is 4.07 states/eV/f.u. As for the formation energy: -1.396 eV per formula unit.



[3]
First-principles (GGA-PBE) data for crystalline Sm6Bi3C2 at its relaxed geometry, as listed in Alexandria via LeMat-Bulk.

```
data_Sm6Bi3C2
_space_group_name_H-M_alt 'I 4/m m m'
_space_group_IT_number 139
_space_group_name_Hall '-I 4 2'
_cell_length_a 4.902
_cell_length_b 4.902
_cell_length_c 26.193
_cell_angle_alpha 90.00
_cell_angle_beta 90.00
_cell_angle_gamma 90.00
loop_
_atom_site_label
_atom_site_fract_x
_atom_site_fract_y
_atom_site_fract_z
_atom_site_occupancy
Sm1 0.000 0.000 0.192 1
Sm2 0.000 0.500 0.085 1
Bi1 0.000 0.000 0.320 1
Bi2 0.000 0.000 0.500 1
C1 0.000 0.000 0.103 1
```

Computed properties:
Its density of states at the Fermi level is 4.45 states/eV/f.u. As for the formation energy: -6.169 eV per formula unit.



[4]
First-principles (GGA-PBE) data for crystalline Tb3Ga8Rh3 at its relaxed geometry, as listed in Alexandria via LeMat-Bulk.

```
data_Tb3Ga8Rh3
_space_group_name_H-M_alt 'I m m m'
_space_group_IT_number 71
_space_group_name_Hall '-I 2 2'
_cell_length_a 4.220
_cell_length_b 9.813
_cell_length_c 12.364
_cell_angle_alpha 90.00
_cell_angle_beta 90.00
_cell_angle_gamma 90.00
loop_
_atom_site_label
_atom_site_fract_x
_atom_site_fract_y
_atom_site_fract_z
_atom_site_occupancy
Tb1 0.000 0.000 0.000 1
Tb2 0.000 0.000 0.329 1
Ga1 0.000 0.283 0.123 1
Ga2 0.000 0.370 0.330 1
Rh1 0.000 0.222 0.500 1
Rh2 0.000 0.500 0.000 1
```

Computed properties:
Its density of states at the Fermi level is 8.21 states/eV/f.u. As for the formation energy: -10.058 eV per formula unit.



[5]
First-principles (GGA-PBE) data for crystalline LaNb2Tc at its relaxed geometry, as listed in Alexandria via LeMat-Bulk.

```
data_LaNb2Tc
_space_group_name_H-M_alt 'I 41/a m d'
_space_group_IT_number 141
_cell_length_a 4.981
_cell_length_b 4.981
_cell_length_c 17.754
_cell_angle_alpha 90.00
_cell_angle_beta 90.00
_cell_angle_gamma 90.00
loop_
_space_group_symop_operation_xyz
'x,y,z'
'-x,-y,-z'
'-y+1/4,x+3/4,z+1/4'
'y+1/4,-x+3/4,-z+1/4'
'-x+1/2,-y,z+1/2'
'x+1/2,y,-z+1/2'
'y+1/4,-x+1/4,z+3/4'
'-y+1/4,x+1/4,-z+3/4'
'x,-y,-z'
'-x,y,z'
'-y+1/4,-x+1/4,-z+3/4'
'y+1/4,x+1/4,z+3/4'
'-x+1/2,y,-z+1/2'
'x+1/2,-y,z+1/2'
'y+1/4,x+3/4,-z+1/4'
'-y+1/4,-x+3/4,z+1/4'
'x+1/2,y+1/2,z+1/2'
'-x+1/2,-y+1/2,-z+1/2'
'-y+3/4,x+1/4,z+3/4'
'y+3/4,-x+1/4,-z+3/4'
'-x,-y+1/2,z'
'x,y+1/2,-z'
'y+3/4,-x+3/4,z+1/4'
'-y+3/4,x+3/4,-z+1/4'
'x+1/2,-y+1/2,-z+1/2'
'-x+1/2,y+1/2,z+1/2'
'-y+3/4,-x+3/4,-z+1/4'
'y+3/4,x+3/4,z+1/4'
'-x,y+1/2,-z'
'x,-y+1/2,z'
'y+3/4,x+1/4,-z+3/4'
'-y+3/4,-x+1/4,z+3/4'
loop_
_atom_site_label
_atom_site_fract_x
_atom_site_fract_y
_atom_site_fract_z
_atom_site_occupancy
La1 0.000 0.250 0.375 1
Nb1 0.000 0.000 0.000 1
Tc1 0.000 0.250 0.875 1
```

Computed properties:
Its density of states at the Fermi level is 6.48 states/eV/f.u. As for the formation energy: 3.718 eV per formula unit.



[6]
First-principles (GGA-PBE) data for crystalline SrRu2Au at its relaxed geometry, as listed in Alexandria via LeMat-Bulk.

```
data_SrRu2Au
_space_group_name_H-M_alt 'P 4 m m'
_space_group_IT_number 99
_cell_length_a 3.221
_cell_length_b 3.221
_cell_length_c 7.625
_cell_angle_alpha 90.00
_cell_angle_beta 90.00
_cell_angle_gamma 90.00
loop_
_space_group_symop_operation_xyz
'x,y,z'
'-y,x,z'
'-x,-y,z'
'y,-x,z'
'-x,y,z'
'y,x,z'
'x,-y,z'
'-y,-x,z'
loop_
_atom_site_label
_atom_site_fract_x
_atom_site_fract_y
_atom_site_fract_z
_atom_site_occupancy
Sr1 0.000 0.000 0.000 1
Ru1 0.000 0.000 0.538 1
Ru2 0.500 0.500 0.689 1
Au1 0.500 0.500 0.300 1
```

Computed properties:
Its density of states at the Fermi level is 4.05 states/eV/f.u. As for the formation energy: 1.004 eV per formula unit.



Question: What is the formula in the sixth record?
Answer: SrRu2Au



Question: density of states at the Fermi level of number 2 (TbThHgC)?
Answer: 4.07 states/eV/f.u.